Record 1
! HfBi2Ir GGA-PBE relaxed; values from VASP
&SYSTEM
  ibrav = 0, nat = 8, ntyp = 3
/
ATOMIC_SPECIES
Hf 178.49 Hf.upf
Bi 208.98 Bi.upf
Ir 192.22 Ir.upf
ATOMIC_POSITIONS crystal
Hf 0.000 0.000 0.000
Hf 0.750 0.250 0.500
Bi 0.136 0.625 0.011
Bi 0.375 0.386 0.511
Bi 0.614 0.125 0.989
Bi 0.875 0.864 0.489
Ir 0.250 0.750 0.500
Ir 0.500 0.500 0.000
CELL_PARAMETERS angstrom
-2.212 2.212 9.981
2.212 -2.212 9.981
2.212 2.212 -9.981
! - Formation energy: 331 meV/atom
! - Space group: No. 122
! - Theoretical density: 13.4 g/cm3
! - Energy above the lowest structure with this stoichiometry: 20.6 meV/atom

Record 2
! Hf4BiIr GGA-PBE relaxed; values from VASP
&SYSTEM
  ibrav = 0, nat = 12, ntyp = 3
/
ATOMIC_SPECIES
Hf 178.49 Hf.upf
Bi 208.98 Bi.upf
Ir 192.22 Ir.upf
ATOMIC_POSITIONS crystal
Hf 0.091 0.713 0.942
Hf 0.180 0.372 0.637
Hf 0.287 0.909 0.558
Hf 0.372 0.180 0.137
Hf 0.628 0.820 0.863
Hf 0.713 0.091 0.442
Hf 0.820 0.628 0.363
Hf 0.909 0.287 0.058
Bi 0.393 0.607 0.250
Bi 0.607 0.393 0.750
Ir 0.006 0.994 0.250
Ir 0.994 0.006 0.750
CELL_PARAMETERS angstrom
4.001 -6.200 0.000
4.001 6.200 0.000
-1.850 0.000 5.286
! - Formation energy: -346 meV/atom
! - Space group: No. 15
! - Theoretical density: 14.1 g/cm3

Record 3
! Na2HfBiIr GGA-PBE relaxed; values from VASP
&SYSTEM
  ibrav = 0, nat = 5, ntyp = 4
/
ATOMIC_SPECIES
Na 22.99 Na.upf
Hf 178.49 Hf.upf
Bi 208.98 Bi.upf
Ir 192.22 Ir.upf
ATOMIC_POSITIONS crystal
Na 0.000 0.500 0.000
Na 0.500 0.000 0.000
Hf 0.000 0.000 0.500
Bi 0.500 0.500 0.500
Ir 0.000 0.000 0.000
CELL_PARAMETERS angstrom
5.276 0.000 0.000
0.000 5.276 0.000
0.000 0.000 4.940
! - Formation energy: 405 meV/atom
! - Space group: No. 123
! - Theoretical density: 7.6 g/cm3

Record 4
! Hf2BiIrO GGA-PBE relaxed; values from VASP
&SYSTEM
  ibrav = 0, nat = 5, ntyp = 4
/
ATOMIC_SPECIES
Hf 178.49 Hf.upf
Bi 208.98 Bi.upf
Ir 192.22 Ir.upf
O 16.00 O.upf
ATOMIC_POSITIONS crystal
Hf 0.000 0.500 0.000
Hf 0.500 0.000 0.000
Bi 0.000 0.000 0.500
Ir 0.000 0.000 0.000
O 0.500 0.500 0.500
CELL_PARAMETERS angstrom
5.024 0.000 0.000
0.000 5.024 0.000
0.000 0.000 5.229
! - Space group: No. 123
! - ΔE_f (raw): 0.705 eV per atom
! - Theoretical density: 9.7 g/cm3